[1]
Material: MgHg
Method: DFT, PBE
State: relaxed Values from VASP.

Crystal system: hexagonal
Energy: -0.997 eV per atom

Cell and atoms, written as Quantum ESPRESSO input:
```
&SYSTEM
  ibrav = 0, nat = 8, ntyp = 2
/
ATOMIC_SPECIES
Mg 24.30 Mg.upf
Hg 200.59 Hg.upf
CELL_PARAMETERS angstrom
6.334 0.000 0.000
-3.167 5.485 0.000
0.000 0.000 5.067
ATOMIC_POSITIONS crystal
Mg 0.000 0.000 0.000
Mg 0.166 0.333 0.500
Mg 0.166 0.834 0.500
Mg 0.667 0.834 0.500
Hg 0.007 0.504 0.000
Hg 0.496 0.504 0.000
Hg 0.496 0.993 0.000
Hg 0.667 0.333 0.500
```

***

[2]
Material: Mg2Hg
Method: DFT, PBE
State: relaxed Values from VASP.

Crystal system: monoclinic
Energy: -1.234 eV per atom

Cell and atoms, written as Quantum ESPRESSO input:
```
&SYSTEM
  ibrav = 0, nat = 24, ntyp = 2
/
ATOMIC_SPECIES
Mg 24.30 Mg.upf
Hg 200.59 Hg.upf
CELL_PARAMETERS angstrom
8.194 0.000 0.000
0.000 5.128 0.000
-2.430 0.000 12.340
ATOMIC_POSITIONS crystal
Mg 0.024 0.250 0.316
Mg 0.051 0.250 0.068
Mg 0.072 0.250 0.573
Mg 0.075 0.250 0.821
Mg 0.266 0.750 0.341
Mg 0.280 0.750 0.105
Mg 0.392 0.250 0.481
Mg 0.393 0.250 0.993
Mg 0.607 0.750 0.007
Mg 0.608 0.750 0.519
Mg 0.720 0.250 0.895
Mg 0.734 0.250 0.659
Mg 0.925 0.750 0.179
Mg 0.928 0.750 0.427
Mg 0.949 0.750 0.932
Mg 0.976 0.750 0.684
Hg 0.266 0.750 0.570
Hg 0.272 0.750 0.870
Hg 0.348 0.250 0.236
Hg 0.397 0.250 0.735
Hg 0.603 0.750 0.265
Hg 0.652 0.750 0.764
Hg 0.728 0.250 0.130
Hg 0.734 0.250 0.430
```

***

[3]
Material: MgHg
Method: DFT, PBE
State: relaxed Values from VASP.

Crystal system: monoclinic
Energy: -1.027 eV per atom

Cell and atoms, written as Quantum ESPRESSO input:
```
&SYSTEM
  ibrav = 0, nat = 12, ntyp = 2
/
ATOMIC_SPECIES
Mg 24.30 Mg.upf
Hg 200.59 Hg.upf
CELL_PARAMETERS angstrom
6.450 0.000 0.000
0.000 5.225 0.000
-1.638 0.000 7.770
ATOMIC_POSITIONS crystal
Mg 0.132 0.250 0.059
Mg 0.201 0.750 0.297
Mg 0.349 0.750 0.934
Mg 0.651 0.250 0.066
Mg 0.799 0.250 0.703
Mg 0.868 0.750 0.941
Hg 0.019 0.750 0.614
Hg 0.318 0.250 0.756
Hg 0.463 0.250 0.380
Hg 0.537 0.750 0.620
Hg 0.682 0.750 0.244
Hg 0.981 0.250 0.386
```

***

[4]
Material: MgHg
Method: DFT, PBE
State: relaxed Values from VASP.

Crystal system: monoclinic
Energy: -1.024 eV per atom

Cell and atoms, written as Quantum ESPRESSO input:
```
&SYSTEM
  ibrav = 0, nat = 12, ntyp = 2
/
ATOMIC_SPECIES
Mg 24.30 Mg.upf
Hg 200.59 Hg.upf
CELL_PARAMETERS angstrom
6.503 0.000 0.000
0.000 5.189 0.000
-1.673 0.000 7.731
ATOMIC_POSITIONS crystal
Mg 0.026 0.250 0.103
Mg 0.142 0.750 0.563
Mg 0.362 0.250 0.443
Mg 0.638 0.750 0.557
Mg 0.858 0.250 0.437
Mg 0.974 0.750 0.897
Hg 0.181 0.250 0.760
Hg 0.297 0.750 0.242
Hg 0.473 0.750 0.882
Hg 0.527 0.250 0.118
Hg 0.703 0.250 0.758
Hg 0.819 0.750 0.240
```

***

[5]
Material: MgHg
Method: DFT, PBE
State: relaxed Values from VASP.

Crystal system: orthorhombic
Energy: -1.010 eV per atom

Cell and atoms, written as Quantum ESPRESSO input:
```
&SYSTEM
  ibrav = 0, nat = 8, ntyp = 2
/
ATOMIC_SPECIES
Mg 24.30 Mg.upf
Hg 200.59 Hg.upf
CELL_PARAMETERS angstrom
5.055 0.000 0.000
0.000 6.431 0.000
0.000 0.000 5.382
ATOMIC_POSITIONS crystal
Mg 0.000 0.000 0.000
Mg 0.000 0.257 0.500
Mg 0.000 0.743 0.500
Mg 0.500 0.000 0.663
Hg 0.000 0.500 0.002
Hg 0.500 0.234 0.167
Hg 0.500 0.500 0.651
Hg 0.500 0.766 0.167
```

***

[6]
Material: MgHg
Method: DFT, PBE
State: relaxed Values from VASP.

Crystal system: orthorhombic
Energy: -1.050 eV per atom

Cell and atoms, written as Quantum ESPRESSO input:
```
&SYSTEM
  ibrav = 0, nat = 12, ntyp = 2
/
ATOMIC_SPECIES
Mg 24.30 Mg.upf
Hg 200.59 Hg.upf
CELL_PARAMETERS angstrom
5.122 0.000 0.000
0.000 9.160 0.000
0.000 0.000 5.497
ATOMIC_POSITIONS crystal
Mg 0.000 0.084 0.000
Mg 0.000 0.416 0.009
Mg 0.000 0.584 0.509
Mg 0.000 0.916 0.500
Mg 0.500 0.104 0.369
Mg 0.500 0.896 0.869
Hg 0.000 0.242 0.498
Hg 0.000 0.758 0.998
Hg 0.500 0.218 0.874
Hg 0.500 0.430 0.347
Hg 0.500 0.570 0.847
Hg 0.500 0.782 0.374
```

***

[7]
Material: Mg2Hg
Method: DFT, PBE
State: relaxed Values from VASP.

Crystal system: hexagonal
Energy: -1.248 eV per atom

Cell and atoms, written as Quantum ESPRESSO input:
```
&SYSTEM
  ibrav = 0, nat = 6, ntyp = 2
/
ATOMIC_SPECIES
Mg 24.30 Mg.upf
Hg 200.59 Hg.upf
CELL_PARAMETERS angstrom
5.545 0.000 0.000
-2.773 4.802 0.000
0.000 0.000 4.794
ATOMIC_POSITIONS crystal
Mg 0.000 0.000 0.000
Mg 0.000 0.343 0.500
Mg 0.343 0.000 0.500
Mg 0.657 0.657 0.500
Hg 0.333 0.667 0.000
Hg 0.667 0.333 0.000
```

***

[8]
Material: MgHg
Method: DFT, PBE
State: relaxed Values from VASP.

Crystal system: hexagonal
Energy: -0.724 eV per atom

Cell and atoms, written as Quantum ESPRESSO input:
```
&SYSTEM
  ibrav = 0, nat = 4, ntyp = 2
/
ATOMIC_SPECIES
Mg 24.30 Mg.upf
Hg 200.59 Hg.upf
CELL_PARAMETERS angstrom
4.470 0.000 0.000
-2.235 3.871 0.000
0.000 0.000 7.288
ATOMIC_POSITIONS crystal
Mg 0.333 0.667 0.000
Mg 0.667 0.333 0.500
Hg 0.333 0.667 0.625
Hg 0.667 0.333 0.125
```

***

[9]
Material: Mg2Hg
Method: DFT, PBE
State: relaxed Values from VASP.

Crystal system: cubic
Energy: -0.535 eV per atom

Cell and atoms, written as Quantum ESPRESSO input:
```
&SYSTEM
  ibrav = 0, nat = 6, ntyp = 2
/
ATOMIC_SPECIES
Mg 24.30 Mg.upf
Hg 200.59 Hg.upf
CELL_PARAMETERS angstrom
0.000 6.153 6.153
6.153 0.000 6.153
6.153 6.153 0.000
ATOMIC_POSITIONS crystal
Mg 0.000 0.000 0.000
Mg 0.000 0.000 0.500
Mg 0.000 0.500 0.000
Mg 0.500 0.000 0.000
Hg 0.125 0.125 0.125
Hg 0.875 0.875 0.875
```

***

[10]
Material: Mg3Hg2
Method: DFT, PBE
State: relaxed Values from VASP.

Excess energy over the best structure of this formula in the dataset: 207 meV per atom
Crystal system: trigonal

Cell and atoms, written as Quantum ESPRESSO input:
```
&SYSTEM
  ibrav = 0, nat = 10, ntyp = 2
/
ATOMIC_SPECIES
Mg 24.30 Mg.upf
Hg 200.59 Hg.upf
CELL_PARAMETERS angstrom
3.504 2.023 6.317
-3.504 2.023 6.317
0.000 -4.046 6.317
ATOMIC_POSITIONS crystal
Mg 0.052 0.750 0.448
Mg 0.250 0.552 0.948
Mg 0.448 0.052 0.750
Mg 0.552 0.948 0.250
Mg 0.750 0.448 0.052
Mg 0.948 0.250 0.552
Hg 0.150 0.150 0.150
Hg 0.350 0.350 0.350
Hg 0.650 0.650 0.650
Hg 0.850 0.850 0.850
```

***

[11]
Material: MgHg
Method: DFT, PBE
State: relaxed Values from VASP.

Crystal system: orthorhombic
Energy: -1.047 eV per atom

Cell and atoms, written as Quantum ESPRESSO input:
```
&SYSTEM
  ibrav = 0, nat = 16, ntyp = 2
/
ATOMIC_SPECIES
Mg 24.30 Mg.upf
Hg 200.59 Hg.upf
CELL_PARAMETERS angstrom
5.018 0.000 0.000
0.000 12.661 0.000
0.000 0.000 5.420
ATOMIC_POSITIONS crystal
Mg 0.250 0.002 0.167
Mg 0.250 0.498 0.167
Mg 0.250 0.634 0.654
Mg 0.250 0.866 0.654
Mg 0.750 0.134 0.346
Mg 0.750 0.366 0.346
Mg 0.750 0.502 0.833
Mg 0.750 0.998 0.833
Hg 0.250 0.096 0.673
Hg 0.250 0.250 0.202
Hg 0.250 0.404 0.673
Hg 0.250 0.750 0.168
Hg 0.750 0.250 0.832
Hg 0.750 0.596 0.327
Hg 0.750 0.750 0.798
Hg 0.750 0.904 0.327
```

***

[12]
Material: MgHg
Method: DFT, PBE
State: relaxed Values from VASP.

Crystal system: hexagonal
Energy: -1.078 eV per atom

Cell and atoms, written as Quantum ESPRESSO input:
```
&SYSTEM
  ibrav = 0, nat = 2, ntyp = 2
/
ATOMIC_SPECIES
Mg 24.30 Mg.upf
Hg 200.59 Hg.upf
CELL_PARAMETERS angstrom
3.364 0.000 0.000
-1.682 2.914 0.000
0.000 0.000 4.504
ATOMIC_POSITIONS crystal
Mg 0.000 0.000 0.000
Hg 0.333 0.667 0.500
```